Entry 1:
Computed, not measured: PrCd3Hg3 after structural relaxation at the PBE-GGA level of DFT.

Cell: 8.804 8.804 5.206 Å, 90.00 90.00 120.00°
Element x y z (fractional)
Pr1 0.333 0.667 0.250
Pr2 0.667 0.333 0.750
Cd1 0.032 0.805 0.250
Cd2 0.195 0.226 0.250
Cd3 0.226 0.032 0.750
Cd4 0.774 0.968 0.250
Cd5 0.805 0.774 0.750
Cd6 0.968 0.195 0.750
Hg1 0.090 0.627 0.750
Hg2 0.373 0.463 0.750
Hg3 0.463 0.090 0.250
Hg4 0.537 0.910 0.750
Hg5 0.627 0.537 0.250
Hg6 0.910 0.373 0.250

Summary:
Raw total energy   -1.377 eV per atom
Symmetry   P6_3/m
Formation enthalpy at 0 K   -172 meV/atom

---

Entry 2:
Computed, not measured: PrCdHg after structural relaxation at the PBE-GGA level of DFT.

Cell: 3.799 3.799 11.463 Å, 90.00 90.00 90.00°
Element x y z (fractional)
Pr1 0.250 0.250 0.115
Pr2 0.750 0.750 0.885
Cd1 0.250 0.250 0.429
Cd2 0.750 0.750 0.571
Hg1 0.250 0.250 0.717
Hg2 0.750 0.750 0.283

Summary:
Raw total energy   -2.177 eV per atom
Symmetry   P4/nmm
Formation enthalpy at 0 K   -178 meV/atom

---

Entry 3:
Computed, not measured: Pr6CdHg after structural relaxation at the PBE-GGA level of DFT.

Cell: 9.874 9.874 9.874 Å, 148.57 148.57 45.04°
Element x y z (fractional)
Pr1 0.111 0.611 0.500
Pr2 0.249 0.249 0.000
Pr3 0.389 0.889 0.500
Pr4 0.611 0.111 0.500
Pr5 0.751 0.751 0.000
Pr6 0.889 0.389 0.500
Cd1 0.000 0.000 0.000
Hg1 0.500 0.500 0.000

Summary:
Raw total energy   -3.929 eV per atom
Symmetry   I4/mmm
Formation enthalpy at 0 K   -192 meV/atom

---

Entry 4:
Computed, not measured: Pr5Cd2Hg2 after structural relaxation at the PBE-GGA level of DFT.

Cell: 9.458 9.458 8.734 Å, 90.00 90.00 46.16°
Element x y z (fractional)
Pr1 0.000 0.000 0.000
Pr2 0.038 0.682 0.684
Pr3 0.182 0.538 0.184
Pr4 0.318 0.962 0.684
Pr5 0.462 0.818 0.184
Pr6 0.500 0.500 0.500
Pr7 0.538 0.182 0.816
Pr8 0.682 0.038 0.316
Pr9 0.818 0.462 0.816
Pr10 0.962 0.318 0.316
Cd1 0.216 0.216 0.000
Cd2 0.284 0.284 0.500
Cd3 0.716 0.716 0.500
Cd4 0.784 0.784 0.000
Hg1 0.110 0.890 0.360
Hg2 0.390 0.610 0.860
Hg3 0.610 0.390 0.140
Hg4 0.890 0.110 0.640

Summary:
Raw total energy   -3.196 eV per atom
Symmetry   Cmce
Formation enthalpy at 0 K   -270 meV/atom

---

Entry 5:
Computed, not measured: Pr12Cd2Hg5 after structural relaxation at the PBE-GGA level of DFT.

Cell: 8.492 8.492 8.599 Å, 100.30 100.30 78.88°
Element x y z (fractional)
Pr1 0.000 0.340 0.813
Pr2 0.000 0.660 0.187
Pr3 0.100 0.100 0.154
Pr4 0.170 0.617 0.602
Pr5 0.340 0.000 0.813
Pr6 0.383 0.830 0.398
Pr7 0.390 0.390 0.256
Pr8 0.610 0.610 0.744
Pr9 0.617 0.170 0.602
Pr10 0.660 0.000 0.187
Pr11 0.830 0.383 0.398
Pr12 0.900 0.900 0.846
Cd1 0.276 0.724 0.000
Cd2 0.724 0.276 0.000
Hg1 0.000 0.000 0.500
Hg2 0.232 0.232 0.509
Hg3 0.377 0.377 0.871
Hg4 0.623 0.623 0.129
Hg5 0.768 0.768 0.491

Summary:
Raw total energy   -3.419 eV per atom
Symmetry   C2/m
Formation enthalpy at 0 K   -224 meV/atom

---

Entry 6:
Computed, not measured: Pr6CdHg3 after structural relaxation at the PBE-GGA level of DFT.

Cell: 9.540 5.470 12.087 Å, 90.00 107.64 90.00°
Element x y z (fractional)
Pr1 0.031 0.250 0.408
Pr2 0.158 0.750 0.181
Pr3 0.238 0.250 0.998
Pr4 0.345 0.750 0.807
Pr5 0.371 0.250 0.349
Pr6 0.405 0.250 0.625
Pr7 0.595 0.750 0.375
Pr8 0.629 0.750 0.651
Pr9 0.655 0.250 0.193
Pr10 0.762 0.750 0.002
Pr11 0.842 0.250 0.819
Pr12 0.969 0.750 0.592
Cd1 0.455 0.750 0.092
Cd2 0.545 0.250 0.908
Hg1 0.033 0.750 0.878
Hg2 0.121 0.250 0.716
Hg3 0.271 0.750 0.475
Hg4 0.729 0.250 0.525
Hg5 0.879 0.750 0.284
Hg6 0.967 0.250 0.122

Summary:
Raw total energy   -3.361 eV per atom
Symmetry   P2_1/m
Formation enthalpy at 0 K   -311 meV/atom

---

Entry 7:
Computed, not measured: PrCd10Hg2 after structural relaxation at the PBE-GGA level of DFT.

Cell: 9.988 7.697 7.685 Å, 80.98 49.56 49.45°
Element x y z (fractional)
Pr1 0.000 0.000 0.000
Cd1 0.000 0.500 0.000
Cd2 0.002 0.353 0.647
Cd3 0.287 0.499 0.501
Cd4 0.353 0.002 0.998
Cd5 0.499 0.287 0.713
Cd6 0.500 0.000 0.500
Cd7 0.501 0.713 0.287
Cd8 0.647 0.998 0.002
Cd9 0.713 0.501 0.499
Cd10 0.998 0.647 0.353
Hg1 0.000 0.000 0.500
Hg2 0.500 0.500 0.000

Summary:
Raw total energy   -1.215 eV per atom
Symmetry   Fmmm
Formation enthalpy at 0 K   -97 meV/atom

---

Entry 8:
Computed, not measured: Pr3Cd4Hg4 after structural relaxation at the PBE-GGA level of DFT.

Cell: 3.678 4.988 15.819 Å, 81.01 83.34 89.96°
Element x y z (fractional)
Pr1 0.000 0.000 0.000
Pr2 0.141 0.641 0.718
Pr3 0.859 0.359 0.282
Cd1 0.264 0.263 0.474
Cd2 0.408 0.908 0.185
Cd3 0.592 0.092 0.815
Cd4 0.736 0.737 0.526
Hg1 0.313 0.815 0.370
Hg2 0.453 0.452 0.095
Hg3 0.547 0.548 0.905
Hg4 0.687 0.185 0.630

Summary:
Raw total energy   -2.091 eV per atom
Symmetry   P-1
Formation enthalpy at 0 K   -345 meV/atom